## TaCd3Ge (GGA-PBE)

Data for a geometry-optimized TaCd3Ge structure.

```
TaCd3Ge
1.0
5.0464 0.0000 0.0000
0.0000 5.0464 0.0000
0.0000 0.0000 5.0464
Ta Cd Ge
1 3 1
direct
0.0000 0.0000 0.0000
0.0000 0.5000 0.5000
0.5000 0.0000 0.5000
0.5000 0.5000 0.0000
0.5000 0.5000 0.5000
```

Summary:
Polymorph energy (0 for the lowest one) ... 0.000 eV per atom
Space-group type ... Pm-3m (221)
ΔH_f (0 K) ... 1259.8 meV per atom
M_tot ... 2.34 μB per formula unit
Fermi-level density of states ... 5.8 states/eV/cell


## NdTm2TcO8 (GGA-PBE)

Data for a geometry-optimized NdTm2TcO8 structure.

```
NdTm2TcO8
1.0
5.0273 0.0000 0.0000
0.0000 6.7950 0.0000
-0.0356 0.0000 5.0332
Nd Tm Tc O
1 2 1 8
direct
0.0000 0.0000 0.0000
0.5000 0.2487 0.5000
0.5000 0.7513 0.5000
0.0000 0.5000 0.0000
0.1874 0.2979 0.1860
0.1874 0.7021 0.1860
0.2679 0.5000 0.7308
0.3165 0.0000 0.6821
0.6835 0.0000 0.3179
0.7321 0.5000 0.2692
0.8126 0.2979 0.8140
0.8126 0.7021 0.8140
```

Summary:
Space-group type ... P2/m (10)
M_tot ... 0.00 μB per formula unit
Formation energy (no corrections) ... -31.53 eV/f.u.


## CdGaTc2Ni (GGA-PBE)

Data for a geometry-optimized CdGaTc2Ni structure.

```
CdGaTc2Ni
1.0
4.5702 0.0000 0.0000
0.0000 4.5702 0.0000
0.0000 0.0000 4.7179
Cd Ga Tc Ni
1 1 2 1
direct
0.0000 0.0000 0.0000
0.0000 0.0000 0.5000
0.0000 0.5000 0.5000
0.5000 0.0000 0.5000
0.5000 0.5000 0.0000
```

Summary:
Space-group type ... P4/mmm (123)
ΔH_f (0 K) ... 1592.2 meV per atom
M_tot ... 0.35 μB per formula unit
Fermi-level density of states ... 10.9 states/eV/cell


## GdHgGe2 (GGA-PBE)

Data for a geometry-optimized GdHgGe2 structure.

```
GdHgGe2
1.0
4.9535 0.0000 0.0000
-2.4768 4.2899 0.0000
0.0000 0.0000 19.8635
Gd Hg Ge
3 3 6
direct
0.0000 0.0000 0.0000
0.3333 0.6667 0.6667
0.6667 0.3333 0.3333
0.0000 0.0000 0.5000
0.3333 0.6667 0.1667
0.6667 0.3333 0.8333
0.0000 0.0000 0.3677
0.0000 0.0000 0.6323
0.3333 0.6667 0.0344
0.3333 0.6667 0.2989
0.6667 0.3333 0.7011
0.6667 0.3333 0.9656
```

Summary:
Polymorph energy (0 for the lowest one) ... 0.535 eV per atom
Space-group type ... R-3m (166)
ΔH_f (0 K) ... 139.9 meV per atom
M_tot ... 7.17 μB per formula unit
Fermi-level density of states ... 12.0 states/eV/cell


## Te2AsIrI (GGA-PBE)

Data for a geometry-optimized Te2AsIrI structure.

```
Te2AsIrI
1.0
5.4247 0.0000 0.0000
0.0000 5.4247 0.0000
0.0000 0.0000 5.3512
Te As Ir I
2 1 1 1
direct
0.0000 0.5000 0.0000
0.5000 0.0000 0.0000
0.0000 0.0000 0.0000
0.5000 0.5000 0.5000
0.0000 0.0000 0.5000
```

Summary:
Polymorph energy (0 for the lowest one) ... 0.708 eV per atom
Space-group type ... P4/mmm (123)
M_tot ... 2.67 μB per formula unit
Formation energy (no corrections) ... 7.01 eV/f.u.
Fermi-level density of states ... 7.2 states/eV/cell


## MnRh2Cl (GGA-PBE)

Data for a geometry-optimized MnRh2Cl structure.

```
MnRh2Cl
1.0
4.1672 0.0000 0.0000
0.0000 4.1672 0.0000
0.0000 0.0000 7.0961
Mn Rh Cl
2 4 2
direct
0.0000 0.0000 0.0000
0.5000 0.5000 0.5000
0.0000 0.0000 0.5000
0.0000 0.5000 0.7500
0.5000 0.0000 0.2500
0.5000 0.5000 0.0000
0.0000 0.5000 0.2500
0.5000 0.0000 0.7500
```

Summary:
Polymorph energy (0 for the lowest one) ... 0.442 eV per atom
Space-group type ... I-4m2 (119)
M_tot ... 3.38 μB per formula unit
Formation energy (no corrections) ... 2.07 eV/f.u.
Fermi-level density of states ... 9.6 states/eV/cell


> The lowest M_tot belongs to which entry?

NdTm2TcO8